#one
PmHRh | PBE-GGA | optimized geometry

DOS(E_F), states/eV/f.u.: 1.8
Space group: P-6m2
Volume, Å³/cell: 49
Total magnetization, μB/cell: 0.0

abc: 3.904 3.904 3.681
angles: 90.00 90.00 120.00
Fractional coordinates of all 3 atoms:
Pm 0.000 0.000 0.000
H 0.667 0.333 0.500
Rh 0.333 0.667 0.500

---

#two
PmHRh | PBE-GGA | optimized geometry

DOS(E_F), states/eV/f.u.: 0.9
Space group: Pnma
Volume, Å³/cell: 191
Total magnetization, μB/cell: 0.0

abc: 7.068 4.855 5.564
angles: 90.00 90.00 90.00
Fractional coordinates of all 12 atoms:
Pm 0.179 0.250 0.146
Pm 0.321 0.750 0.646
Pm 0.679 0.250 0.354
Pm 0.821 0.750 0.854
H 0.198 0.750 0.213
H 0.302 0.250 0.713
H 0.698 0.750 0.287
H 0.802 0.250 0.787
Rh 0.045 0.250 0.665
Rh 0.455 0.750 0.165
Rh 0.545 0.250 0.835
Rh 0.955 0.750 0.335

---

#three
PmHRh | PBE-GGA | optimized geometry

DOS(E_F), states/eV/f.u.: 2.4
Space group: Pmma
Volume, Å³/cell: 93
Total magnetization, μB/cell: 0.0

abc: 4.966 3.668 5.090
angles: 90.00 90.00 90.00
Fractional coordinates of all 6 atoms:
Pm 0.250 0.000 0.249
Pm 0.750 0.000 0.751
H 0.000 0.500 0.500
H 0.500 0.500 0.500
Rh 0.250 0.500 0.780
Rh 0.750 0.500 0.220

---

Compare the structures above. Which one is the most stable? #two is.